Entry 1:
# B2PtRh3 | Alexandria via LeMat-Bulk | PBE | optimized geometry
data_B2PtRh3
_cell_length_a 2.820
_cell_length_b 6.931
_cell_length_c 7.929
_cell_angle_alpha 90.88
_cell_angle_beta 100.24
_cell_angle_gamma 90.00
_space_group_name_H-M_alt 'P 1'
_space_group_IT_number 1
loop_
_space_group_symop_operation_xyz
'x,y,z'
loop_
_atom_site_label
_atom_site_fract_x
_atom_site_fract_y
_atom_site_fract_z
_atom_site_occupancy
B1 0.696 0.360 0.391 1
B2 0.304 0.640 0.609 1
B3 0.071 0.138 0.142 1
B4 0.929 0.862 0.858 1
Pt1 0.676 0.063 0.353 1
Pt2 0.324 0.937 0.647 1
Rh1 0.702 0.651 0.404 1
Rh2 0.938 0.169 0.875 1
Rh3 0.561 0.374 0.123 1
Rh4 0.298 0.349 0.596 1
Rh5 0.439 0.626 0.877 1
Rh6 0.062 0.831 0.125 1
# Calculated total energy in eV/atom: -7.020
# V in Å³ per atom: 12.71
# Energy of formation from the pure elements in eV/atom: -0.111
# Symmetry: C2/m, No. 12

Entry 2:
# Ac2AgPd | Alexandria via LeMat-Bulk | PBE | optimized geometry
data_Ac2AgPd
_cell_length_a 4.934
_cell_length_b 6.240
_cell_length_c 8.373
_cell_angle_alpha 109.84
_cell_angle_beta 90.00
_cell_angle_gamma 90.00
_space_group_name_H-M_alt 'P 1'
_space_group_IT_number 1
loop_
_space_group_symop_operation_xyz
'x,y,z'
loop_
_atom_site_label
_atom_site_fract_x
_atom_site_fract_y
_atom_site_fract_z
_atom_site_occupancy
Ac1 0.750 0.220 0.436 1
Ac2 0.250 0.780 0.564 1
Ac3 0.250 0.767 0.071 1
Ac4 0.750 0.233 0.929 1
Ag1 0.250 0.337 0.212 1
Ag2 0.750 0.663 0.788 1
Pd1 0.750 0.663 0.292 1
Pd2 0.250 0.337 0.708 1
# Calculated total energy in eV/atom: -4.593
# V in Å³ per atom: 30.31
# Energy of formation from the pure elements in eV/atom: -0.528
# Symmetry: P2_1/m, No. 11